No. 1
Density functional theory data (PBE) for KSbF2 after structural relaxation.

Results
The calculation puts the offset from the most stable computed form at 0 meV per atom. For the formation energy without anion corrections, the calculation gives -2.037 eV per atom.

a = 7.8077 Å, b = 7.8077 Å, c = 7.8077 Å
α = 26.77°, β = 26.77°, γ = 26.77°
Closest atoms and distances in Å follow each position.
Element x y z (fractional)
Sb1 0.0000 0.0000 0.0000  2 F 2.21
F1 0.0979 0.0979 0.0979  1 Sb 2.21
F2 0.9021 0.9021 0.9021  1 Sb 2.21
K1 0.5000 0.5000 0.5000  6 F 2.60


No. 2
Density functional theory data (PBE) for K2SbF after structural relaxation.

Results
The calculation puts the offset from the most stable computed form at 377 meV per atom. For the formation energy without anion corrections, the calculation gives -0.821 eV per atom.

a = 5.7390 Å, b = 5.7390 Å, c = 5.7390 Å
α = 60.00°, β = 60.00°, γ = 60.00°
Closest atoms and distances in Å follow each position.
Element x y z (fractional)
K1 0.7500 0.7500 0.7500  4 F 3.51, 4 Sb 3.51
K2 0.2500 0.2500 0.2500  4 F 3.51, 4 Sb 3.51
F1 0.0000 0.0000 0.0000  8 K 3.51
Sb1 0.5000 0.5000 0.5000  8 K 3.51